Here is a relaxed ErTm2Pd8 crystal from the Alexandria database. Energies are from PBE-GGA.

It has space group C2/m (No. 12), with a = 14.737 Å, b = 4.180 Å, c = 6.711 Å, α = 90.00°, β = 108.36° and γ = 90.00°. Symmetry generates all atoms from Er at (0.000, 0.000, 0.000), Tm at (0.218, 0.500, 0.666), Pd at (0.038, 0.500, 0.718), Pd at (0.093, 0.000, 0.452), Pd at (0.142, 0.500, 0.183) and Pd at (0.177, 0.000, 0.908).

For the calculated density, the calculation gives 11.48 g cm⁻³. Its formation energy is -0.803 eV per atom. The total energy is -127.77 eV per cell.

***

Here is a relaxed Er3TmPd2 crystal from the Alexandria database. Energies are from PBE-GGA.

It has space group Ibam (No. 72), with a = 6.842 Å, b = 13.518 Å, c = 7.073 Å, α = 90.00°, β = 90.00° and γ = 90.00°. Symmetry generates all atoms from Er at (0.000, 0.000, 0.250), Er at (0.000, 0.268, 0.250), Tm at (0.000, 0.500, 0.000) and Pd at (0.208, 0.140, 0.000).

For the calculated density, the calculation gives 8.97 g cm⁻³. Its formation energy is -0.524 eV per atom. The total energy is -126.77 eV per cell. The value obtained for the polymorph energy (0 for the lowest one) is 98 meV per atom.

***

Here is a relaxed ErTm4Pd2 crystal from the Alexandria database. Energies are from PBE-GGA.

It has space group R-3m (No. 166, hexagonal axes), with a = 3.7899 Å, b = 3.7899 Å, c = 46.4985 Å, α = 90.00°, β = 90.00° and γ = 120.00°. Symmetry generates all atoms from Er at (0.0000, 0.0000, 0.0000), Tm at (0.0000, 0.0000, 0.1977), Tm at (0.0000, 0.0000, 0.3937) and Pd at (0.0000, 0.0000, 0.0980).

For the calculated density, the calculation gives 9.09 g cm⁻³. Its formation energy is -0.373 eV per atom. The total energy is -106.33 eV per cell. The value obtained for the polymorph energy (0 for the lowest one) is 94 meV per atom.

***

Here is a relaxed ErTm2Pd3 crystal from the Alexandria database. Energies are from PBE-GGA.

It has space group P4/mmm (No. 123), with a = 3.469 Å, b = 3.469 Å, c = 10.390 Å, α = 90.00°, β = 90.00° and γ = 90.00°. Symmetry generates all atoms from Er at (0.000, 0.000, 0.000), Tm at (0.000, 0.000, 0.334), Pd at (0.500, 0.500, 0.168) and Pd at (0.500, 0.500, 0.500).

For the calculated density, the calculation gives 10.95 g cm⁻³. Its formation energy is -0.931 eV per atom. The total energy is -34.67 eV per cell. The value obtained for the polymorph energy (0 for the lowest one) is 6 meV per atom.

***

Here is a relaxed Er2TmPd8 crystal from the Alexandria database. Energies are from PBE-GGA.

It has space group C2/m (No. 12), with a = 14.743 Å, b = 4.186 Å, c = 6.720 Å, α = 90.00°, β = 108.42° and γ = 90.00°. Symmetry generates all atoms from Er at (0.218, 0.000, 0.166), Tm at (0.000, 0.500, 0.500), Pd at (0.037, 0.000, 0.219), Pd at (0.092, 0.500, 0.950), Pd at (0.141, 0.000, 0.681) and Pd at (0.177, 0.500, 0.407).

For the calculated density, the calculation gives 11.44 g cm⁻³. Its formation energy is -0.797 eV per atom. The total energy is -127.82 eV per cell.

***

Here is a relaxed ErTm2Pd2 crystal from the Alexandria database. Energies are from PBE-GGA.

It has space group Cmc2_1 (No. 36), with a = 3.808 Å, b = 13.561 Å, c = 9.553 Å, α = 90.00°, β = 90.00° and γ = 90.00°. Symmetry generates all atoms from Er at (0.000, 0.101, 0.000), Tm at (0.000, 0.183, 0.367), Tm at (0.000, 0.394, 0.158), Pd at (0.000, 0.263, 0.652) and Pd at (0.000, 0.469, 0.875).

For the calculated density, the calculation gives 9.67 g cm⁻³. Its formation energy is -0.698 eV per atom. The total energy is -109.52 eV per cell. The value obtained for the polymorph energy (0 for the lowest one) is 72 meV per atom.

***

- The lowest calculated density belongs to which entry?
  Er3TmPd2